Record 1
VASP calculation (PBE) on a geometry-optimized HoAgGe structure.

a b c (Å): 4.6216 4.6216 4.6216
angles (deg): 60.00 60.00 60.00
Last column: nearest neighbours and their distance in Å.
Sites, in units of the cell vectors:
Ho  0.0000  0.0000  0.0000  4 Ge 2.83
Ag  0.5000  0.5000  0.5000  4 Ge 2.83
Ge  0.7500  0.7500  0.7500  4 Ho 2.83, 4 Ag 2.83

Output
SG = F-43m (216)
Density = 8.22 g/cm3
Electronic total energy = -4.506 eV per atom
Volume = 69.80 Å³/f.u.
Energy relative to the elements = -0.491 eV/atom



Record 2
VASP calculation (PBE) on a geometry-optimized Er6Bi2Au structure.

a b c (Å): 6.4226 8.0204 12.0060
angles (deg): 90.00 121.50 90.00
Last column: nearest neighbours and their distance in Å.
Sites, in units of the cell vectors:
Er  0.0820  0.2064  0.4569  1 Au 2.96, 3 Bi 3.16-3.31
Er  0.0820  0.2936  0.9569  1 Au 2.96, 3 Bi 3.16-3.31
Er  0.3251  0.6635  0.4589  1 Au 2.87, 2 Bi 3.17-3.20
Er  0.3251  0.8365  0.9589  1 Au 2.87, 2 Bi 3.17-3.20
Er  0.3849  0.0325  0.2384  1 Au 2.84
Er  0.3849  0.4675  0.7384  1 Au 2.84
Er  0.6151  0.5325  0.2616  1 Au 2.84
Er  0.6151  0.9675  0.7616  1 Au 2.84
Er  0.6749  0.1635  0.0411  1 Au 2.87, 2 Bi 3.17-3.20
Er  0.6749  0.3365  0.5411  1 Au 2.87, 2 Bi 3.17-3.20
Er  0.9180  0.7064  0.0431  1 Au 2.96, 3 Bi 3.16-3.31
Er  0.9180  0.7936  0.5431  1 Au 2.96, 3 Bi 3.16-3.31
Bi  0.1344  0.1136  0.7391  8 Er 3.16-3.49
Bi  0.1344  0.3864  0.2391  8 Er 3.16-3.49
Bi  0.8656  0.6136  0.7609  8 Er 3.16-3.49
Bi  0.8656  0.8864  0.2609  8 Er 3.16-3.49
Au  0.5000  0.0000  0.5000  6 Er 2.84-2.96
Au  0.5000  0.5000  0.0000  6 Er 2.84-2.96

Output
SG = P2_1/c (14)
Density = 10.19 g/cm3
Electronic total energy = -4.750 eV per atom
Volume = 263.65 Å³/f.u.
Energy relative to the elements = -0.482 eV/atom



Record 3
VASP calculation (PBE) on a geometry-optimized Pm2NdAu structure.

a b c (Å): 7.1567 10.2410 6.7607
angles (deg): 90.00 90.00 90.00
Last column: nearest neighbours and their distance in Å.
Sites, in units of the cell vectors:
Pm  0.1914  0.0529  0.1768  2 Au 3.02-3.04
Pm  0.1914  0.4471  0.1768  2 Au 3.02-3.04
Pm  0.3086  0.5529  0.6768  2 Au 3.02-3.04
Pm  0.3086  0.9471  0.6768  2 Au 3.02-3.04
Pm  0.6914  0.0529  0.3232  2 Au 3.02-3.04
Pm  0.6914  0.4471  0.3232  2 Au 3.02-3.04
Pm  0.8086  0.5529  0.8232  2 Au 3.02-3.04
Pm  0.8086  0.9471  0.8232  2 Au 3.02-3.04
Nd  0.0102  0.2500  0.6318  2 Au 3.05-3.07
Nd  0.4898  0.7500  0.1318  2 Au 3.05-3.07
Nd  0.5102  0.2500  0.8682  2 Au 3.05-3.07
Nd  0.9898  0.7500  0.3682  2 Au 3.05-3.07
Au  0.1041  0.7500  0.9328  4 Pm 3.02-3.04, 2 Nd 3.05-3.07
Au  0.3959  0.2500  0.4328  4 Pm 3.02-3.04, 2 Nd 3.05-3.07
Au  0.6041  0.7500  0.5672  4 Pm 3.02-3.04, 2 Nd 3.05-3.07
Au  0.8959  0.2500  0.0672  4 Pm 3.02-3.04, 2 Nd 3.05-3.07

Output
SG = Pnma (62)
Density = 8.46 g/cm3
Electronic total energy = -4.785 eV per atom
Energy above the most stable polymorph in this dataset = 0.63 kJ/mol of atoms
Volume = 123.88 Å³/f.u.
Energy relative to the elements = -0.398 eV/atom



Record 4
VASP calculation (PBE) on a geometry-optimized HoAl3Au3 structure.

a b c (Å): 6.9833 6.9833 6.9833
angles (deg): 70.78 70.78 70.78
Last column: nearest neighbours and their distance in Å.
Sites, in units of the cell vectors:
Ho  0.1742  0.1742  0.1742  6 Au 2.95, 3 Al 3.27
Ho  0.8258  0.8258  0.8258  6 Au 2.95, 3 Al 3.27
Al  0.0692  0.3798  0.7013  4 Au 2.49-2.74
Al  0.2987  0.9308  0.6202  4 Au 2.49-2.74
Al  0.3798  0.7013  0.0692  4 Au 2.49-2.74
Al  0.6202  0.2987  0.9308  4 Au 2.49-2.74
Al  0.7013  0.0692  0.3798  4 Au 2.49-2.74
Al  0.9308  0.6202  0.2987  4 Au 2.49-2.74
Au  0.1373  0.7527  0.4349  4 Al 2.49-2.74
Au  0.2473  0.5651  0.8627  4 Al 2.49-2.74
Au  0.4349  0.1373  0.7527  4 Al 2.49-2.74
Au  0.5651  0.8627  0.2473  4 Al 2.49-2.74
Au  0.7527  0.4349  0.1373  4 Al 2.49-2.74
Au  0.8627  0.2473  0.5651  4 Al 2.49-2.74

Output
SG = R-3 (148)
Density = 9.45 g/cm3
Electronic total energy = -4.115 eV per atom
Energy above the most stable polymorph in this dataset = 13.51 kJ/mol of atoms
Volume = 147.09 Å³/f.u.
Energy relative to the elements = -0.452 eV/atom



Record 5
VASP calculation (PBE) on a geometry-optimized YPd8Pt4 structure.

a b c (Å): 6.9706 6.9706 6.9706
angles (deg): 98.31 98.31 135.30
Last column: nearest neighbours and their distance in Å.
Sites, in units of the cell vectors:
Y  0.0000  0.0000  0.0000  12 Pd 3.15-3.31, 8 Pt 3.49
Pd  0.0000  0.3456  0.3456  4 Pt 2.78, 5 Pd 2.81-2.94
Pd  0.0000  0.6544  0.6544  4 Pt 2.78, 5 Pd 2.81-2.94
Pd  0.2834  0.5000  0.7834  4 Pt 2.65, 6 Pd 2.79-2.94
Pd  0.3456  0.0000  0.3456  4 Pt 2.78, 5 Pd 2.81-2.94
Pd  0.5000  0.2834  0.7834  4 Pt 2.65, 6 Pd 2.79-2.94
Pd  0.5000  0.7166  0.2166  4 Pt 2.65, 6 Pd 2.79-2.94
Pd  0.6544  0.0000  0.6544  4 Pt 2.78, 5 Pd 2.81-2.94
Pd  0.7166  0.5000  0.2166  4 Pt 2.65, 6 Pd 2.79-2.94
Pt  0.0000  0.0000  0.5000  2 Pt 2.65, 8 Pd 2.65-2.78
Pt  0.0000  0.5000  0.0000  2 Pt 2.65, 8 Pd 2.65-2.78
Pt  0.5000  0.0000  0.0000  2 Pt 2.65, 8 Pd 2.65-2.78
Pt  0.5000  0.5000  0.5000  2 Pt 2.65, 8 Pd 2.65-2.78

Output
SG = I4/mmm (139)
Density = 12.97 g/cm3
Electronic total energy = -5.828 eV per atom
Volume = 220.33 Å³/f.u.
Energy relative to the elements = -0.276 eV/atom



Record 6
VASP calculation (PBE) on a geometry-optimized BaZr5 structure.

a b c (Å): 5.2843 9.6726 9.6726
angles (deg): 19.12 90.00 90.00
Last column: nearest neighbours and their distance in Å.
Sites, in units of the cell vectors:
Ba  0.0000  0.0000  0.0000  2 Ba 3.21, 2 Zr 3.49
Zr  0.0000  0.3239  0.3239  10 Zr 3.13-3.27
Zr  0.0000  0.6810  0.6810  10 Zr 3.07-3.26
Zr  0.5000  0.2358  0.2358  12 Zr 3.06-3.26
Zr  0.5000  0.5991  0.5991  6 Zr 3.06-3.21
Zr  0.5000  0.8805  0.8805  8 Zr 3.19-3.27, 2 Ba 3.49

Output
SG = Amm2 (38)
Density = 6.09 g/cm3
Electronic total energy = -7.149 eV per atom
Volume = 161.94 Å³/f.u.
Energy relative to the elements = 0.295 eV/atom



Please write out number 3 again, unchanged.
VASP calculation (PBE) on a geometry-optimized Pm2NdAu structure.

a b c (Å): 7.1567 10.2410 6.7607
angles (deg): 90.00 90.00 90.00
Last column: nearest neighbours and their distance in Å.
Sites, in units of the cell vectors:
Pm  0.1914  0.0529  0.1768  2 Au 3.02-3.04
Pm  0.1914  0.4471  0.1768  2 Au 3.02-3.04
Pm  0.3086  0.5529  0.6768  2 Au 3.02-3.04
Pm  0.3086  0.9471  0.6768  2 Au 3.02-3.04
Pm  0.6914  0.0529  0.3232  2 Au 3.02-3.04
Pm  0.6914  0.4471  0.3232  2 Au 3.02-3.04
Pm  0.8086  0.5529  0.8232  2 Au 3.02-3.04
Pm  0.8086  0.9471  0.8232  2 Au 3.02-3.04
Nd  0.0102  0.2500  0.6318  2 Au 3.05-3.07
Nd  0.4898  0.7500  0.1318  2 Au 3.05-3.07
Nd  0.5102  0.2500  0.8682  2 Au 3.05-3.07
Nd  0.9898  0.7500  0.3682  2 Au 3.05-3.07
Au  0.1041  0.7500  0.9328  4 Pm 3.02-3.04, 2 Nd 3.05-3.07
Au  0.3959  0.2500  0.4328  4 Pm 3.02-3.04, 2 Nd 3.05-3.07
Au  0.6041  0.7500  0.5672  4 Pm 3.02-3.04, 2 Nd 3.05-3.07
Au  0.8959  0.2500  0.0672  4 Pm 3.02-3.04, 2 Nd 3.05-3.07

Output
SG = Pnma (62)
Density = 8.46 g/cm3
Electronic total energy = -4.785 eV per atom
Energy above the most stable polymorph in this dataset = 0.63 kJ/mol of atoms
Volume = 123.88 Å³/f.u.
Energy relative to the elements = -0.398 eV/atom



> What is the formula in the fourth record?

HoAl3Au3



> What is the formula in the third record?

Pm2NdAu